Below is a relaxed Mg2NiAs crystal, with properties calculated at the PBE level.

Cell and atoms, written as CIF:
```
data_Mg2NiAs
_space_group_name_H-M_alt 'P 1'
_space_group_IT_number 1
_space_group_name_Hall 'P 1'
_cell_length_a 3.143
_cell_length_b 3.143
_cell_length_c 6.773
_cell_angle_alpha 90.00
_cell_angle_beta 90.00
_cell_angle_gamma 90.00
loop_
_atom_site_label
_atom_site_type_symbol
_atom_site_fract_x
_atom_site_fract_y
_atom_site_fract_z
Mg1 Mg 0.000 0.000 0.221
Mg2 Mg 0.000 0.000 0.779
Ni1 Ni 0.500 0.500 0.000
As1 As 0.500 0.500 0.500
```

The crystal system is tetragonal. Its space group is P4/mmm, No. 123. The total energy comes out at -3.59 eV per atom. The energy relative to the elements comes out at -183 meV per atom.

***

Below is a relaxed MgNiAs crystal, with properties calculated at the PBE level.

Cell and atoms, written as CIF:
```
data_MgNiAs
_space_group_name_H-M_alt 'P 1'
_space_group_IT_number 1
_space_group_name_Hall 'P 1'
_cell_length_a 3.121
_cell_length_b 3.121
_cell_length_c 5.916
_cell_angle_alpha 90.00
_cell_angle_beta 90.00
_cell_angle_gamma 120.00
loop_
_atom_site_label
_atom_site_type_symbol
_atom_site_fract_x
_atom_site_fract_y
_atom_site_fract_z
Mg1 Mg 0.000 0.000 0.000
Ni1 Ni 0.333 0.667 0.344
As1 As 0.667 0.333 0.603
```

The crystal system is trigonal. Its space group is P3m1, No. 156. The total energy comes out at -4.14 eV per atom. The energy relative to the elements comes out at -128 meV per atom.

***

Below is a relaxed MgNiAs crystal, with properties calculated at the PBE level.

Cell and atoms, written as CIF:
```
data_MgNiAs
_space_group_name_H-M_alt 'P 1'
_space_group_IT_number 1
_space_group_name_Hall 'P 1'
_cell_length_a 4.602
_cell_length_b 4.602
_cell_length_c 4.602
_cell_angle_alpha 139.13
_cell_angle_beta 132.98
_cell_angle_gamma 64.03
loop_
_atom_site_label
_atom_site_type_symbol
_atom_site_fract_x
_atom_site_fract_y
_atom_site_fract_z
Mg1 Mg 0.000 0.000 0.000
Ni1 Ni 0.339 0.339 0.000
As1 As 0.669 0.669 0.000
```

The crystal system is orthorhombic. Its space group is Imm2, No. 44. The total energy comes out at -4.17 eV per atom. The energy relative to the elements comes out at -162 meV per atom.

***

Below is a relaxed Mg2NiAs crystal, with properties calculated at the PBE level.

Cell and atoms, written as CIF:
```
data_Mg2NiAs
_space_group_name_H-M_alt 'P 1'
_space_group_IT_number 1
_space_group_name_Hall 'P 1'
_cell_length_a 4.129
_cell_length_b 4.129
_cell_length_c 3.782
_cell_angle_alpha 90.00
_cell_angle_beta 90.00
_cell_angle_gamma 90.00
loop_
_atom_site_label
_atom_site_type_symbol
_atom_site_fract_x
_atom_site_fract_y
_atom_site_fract_z
Mg1 Mg 0.000 0.500 0.000
Mg2 Mg 0.500 0.000 0.000
Ni1 Ni 0.000 0.000 0.500
As1 As 0.500 0.500 0.500
```

The crystal system is tetragonal. Its space group is P4/mmm, No. 123. The total energy comes out at -3.65 eV per atom. The energy relative to the elements comes out at -248 meV per atom.

***

Below is a relaxed MgNiAs crystal, with properties calculated at the PBE level.

Cell and atoms, written as CIF:
```
data_MgNiAs
_space_group_name_H-M_alt 'P 1'
_space_group_IT_number 1
_space_group_name_Hall 'P 1'
_cell_length_a 5.305
_cell_length_b 5.305
_cell_length_c 5.305
_cell_angle_alpha 135.85
_cell_angle_beta 97.08
_cell_angle_gamma 99.16
loop_
_atom_site_label
_atom_site_type_symbol
_atom_site_fract_x
_atom_site_fract_y
_atom_site_fract_z
Mg1 Mg 0.000 0.000 0.000
Mg2 Mg 0.557 0.057 0.500
Ni1 Ni 0.004 0.701 0.303
Ni2 Ni 0.398 0.701 0.697
As1 As 0.130 0.369 0.762
As2 As 0.607 0.369 0.238
```

The crystal system is orthorhombic. Its space group is Imm2, No. 44. The total energy comes out at -4.41 eV per atom. The energy relative to the elements comes out at -404 meV per atom.